#a
Density functional theory data (PBE) for an optimized crystal structure of BeSi3W.

Results
- calculated density (Mg/m³) = 6.4
- V (Å³ per atom) = 14.4

```
data_BeSi3W
_chemical_formula_sum 'Be1 Si3 W1'
_cell_length_a 4.161
_cell_length_b 4.161
_cell_length_c 4.161
_cell_angle_alpha 90.00
_cell_angle_beta 90.00
_cell_angle_gamma 90.00
_symmetry_space_group_name_H-M 'P m -3 m'
_symmetry_Int_Tables_number 221
_symmetry_space_group_name_Hall '-P 4 2 3'
loop_
_atom_site_label
_atom_site_type_symbol
_atom_site_fract_x
_atom_site_fract_y
_atom_site_fract_z
_atom_site_occupancy
Be1 Be 0.000 0.000 0.000 1
Si1 Si 0.000 0.000 0.500 1
W1 W 0.500 0.500 0.500 1
```

=====

#b
Density functional theory data (PBE) for an optimized crystal structure of BeSi3W.

Results
- calculated density (Mg/m³) = 4.2
- V (Å³ per atom) = 21.7

```
data_BeSi3W
_chemical_formula_sum 'Be1 Si3 W1'
_cell_length_a 4.768
_cell_length_b 4.768
_cell_length_c 4.768
_cell_angle_alpha 90.00
_cell_angle_beta 90.00
_cell_angle_gamma 90.00
_symmetry_space_group_name_H-M 'P m -3 m'
_symmetry_Int_Tables_number 221
_symmetry_space_group_name_Hall '-P 4 2 3'
loop_
_atom_site_label
_atom_site_type_symbol
_atom_site_fract_x
_atom_site_fract_y
_atom_site_fract_z
_atom_site_occupancy
Be1 Be 0.000 0.000 0.000 1
Si1 Si 0.000 0.500 0.500 1
W1 W 0.500 0.500 0.500 1
```

=====

Name the most stable of them. #b.

=====

#a
Density functional theory data (PBE) for an optimized crystal structure of Y2BeSi3.

Results
- calculated density (Mg/m³) = 4.2
- V (Å³ per atom) = 17.9

```
data_Y2BeSi3
_chemical_formula_sum 'Y16 Be8 Si24'
_cell_length_a 7.860
_cell_length_b 8.056
_cell_length_c 13.600
_cell_angle_alpha 90.00
_cell_angle_beta 90.00
_cell_angle_gamma 90.00
_symmetry_space_group_name_H-M 'F m m m'
_symmetry_Int_Tables_number 69
_symmetry_space_group_name_Hall '-F 2 2'
loop_
_atom_site_label
_atom_site_type_symbol
_atom_site_fract_x
_atom_site_fract_y
_atom_site_fract_z
_atom_site_occupancy
Y1 Y 0.000 0.246 0.000 1
Y2 Y 0.250 0.250 0.250 1
Be1 Be 0.000 0.000 0.334 1
Si1 Si 0.000 0.000 0.172 1
Si2 Si 0.239 0.000 0.414 1
```

=====

#b
Density functional theory data (PBE) for an optimized crystal structure of Y2BeSi3.

Results
- calculated density (Mg/m³) = 4.2
- V (Å³ per atom) = 18.0

```
data_Y2BeSi3
_chemical_formula_sum 'Y2 Be1 Si3'
_cell_length_a 3.947
_cell_length_b 4.055
_cell_length_c 6.763
_cell_angle_alpha 90.00
_cell_angle_beta 90.00
_cell_angle_gamma 90.00
_symmetry_space_group_name_H-M 'P m m 2'
_symmetry_Int_Tables_number 25
loop_
_symmetry_equiv_pos_as_xyz
'x,y,z'
'-x,-y,z'
'-x,y,z'
'x,-y,z'
loop_
_atom_site_label
_atom_site_type_symbol
_atom_site_fract_x
_atom_site_fract_y
_atom_site_fract_z
_atom_site_occupancy
Y1 Y 0.000 0.000 0.000 1
Y2 Y 0.500 0.000 0.500 1
Be1 Be 0.000 0.500 0.673 1
Si1 Si 0.000 0.500 0.349 1
Si2 Si 0.500 0.500 0.165 1
Si3 Si 0.500 0.500 0.819 1
```

=====

Name the most stable of them. #a.

=====

#a
Density functional theory data (PBE) for an optimized crystal structure of YBe3Si.

Results
- calculated density (Mg/m³) = 2.0
- V (Å³ per atom) = 23.9

```
data_YBe3Si
_chemical_formula_sum 'Y1 Be3 Si1'
_cell_length_a 4.925
_cell_length_b 4.925
_cell_length_c 4.925
_cell_angle_alpha 90.00
_cell_angle_beta 90.00
_cell_angle_gamma 90.00
_symmetry_space_group_name_H-M 'P m -3 m'
_symmetry_Int_Tables_number 221
_symmetry_space_group_name_Hall '-P 4 2 3'
loop_
_atom_site_label
_atom_site_type_symbol
_atom_site_fract_x
_atom_site_fract_y
_atom_site_fract_z
_atom_site_occupancy
Y1 Y 0.000 0.000 0.000 1
Be1 Be 0.000 0.000 0.500 1
Si1 Si 0.500 0.500 0.500 1
```

=====

#b
Density functional theory data (PBE) for an optimized crystal structure of YBe3Si.

Results
- calculated density (Mg/m³) = 3.2
- V (Å³ per atom) = 15.1

```
data_YBe3Si
_chemical_formula_sum 'Y1 Be3 Si1'
_cell_length_a 4.224
_cell_length_b 4.224
_cell_length_c 4.224
_cell_angle_alpha 90.00
_cell_angle_beta 90.00
_cell_angle_gamma 90.00
_symmetry_space_group_name_H-M 'P m -3 m'
_symmetry_Int_Tables_number 221
_symmetry_space_group_name_Hall '-P 4 2 3'
loop_
_atom_site_label
_atom_site_type_symbol
_atom_site_fract_x
_atom_site_fract_y
_atom_site_fract_z
_atom_site_occupancy
Y1 Y 0.000 0.000 0.000 1
Be1 Be 0.000 0.500 0.500 1
Si1 Si 0.500 0.500 0.500 1
```

=====

Name the most stable of them. #b.